1.
Density functional theory data (GGA-PBE) for a relaxed structure of Sr2AlRe.

Output
Symmetry = R-3m, No. 166
Formation energy = 0.96 eV/atom

Lattice parameters (Å, degrees): 10.719 10.719 10.719 18.16 18.16 18.16
Fractional positions:
Sr  0.244  0.244  0.244
Sr  0.756  0.756  0.756
Al  0.000  0.000  0.000
Re  0.500  0.500  0.500

***

2.
Density functional theory data (GGA-PBE) for a relaxed structure of Sr2AlRe.

Output
Symmetry = P4/mmm, No. 123
Formation energy = 0.78 eV/atom

Lattice parameters (Å, degrees): 3.112 3.112 10.174 90.00 90.00 90.00
Fractional positions:
Sr  0.000  0.000  0.239
Sr  0.000  0.000  0.761
Al  0.500  0.500  0.500
Re  0.500  0.500  0.000

***

3.
Density functional theory data (GGA-PBE) for a relaxed structure of SrAlRe.

Output
Symmetry = P-6m2, No. 187
Formation energy = 0.72 eV/atom
E above lowest polymorph = 0.362 eV/atom

Lattice parameters (Å, degrees): 4.966 4.966 2.893 90.00 90.00 120.00
Fractional positions:
Sr  0.000  0.000  0.000
Al  0.667  0.333  0.500
Re  0.333  0.667  0.500

***

4.
Density functional theory data (GGA-PBE) for a relaxed structure of SrAlRe2.

Output
Symmetry = R-3m, No. 166
Formation energy = 0.75 eV/atom

Lattice parameters (Å, degrees): 10.023 10.023 10.023 16.50 16.50 16.50
Fractional positions:
Sr  0.000  0.000  0.000
Al  0.500  0.500  0.500
Re  0.238  0.238  0.238
Re  0.762  0.762  0.762

***

no.,electronic total energy (eV per atom)
1,-3.928
2,-4.106
3,-5.236
4,-6.833